# 1
A relaxed structure of CuTeCl, computed with PBE-GGA. Values from VASP.

```
&SYSTEM
  ibrav = 0, nat = 6, ntyp = 3
/
ATOMIC_SPECIES
Cl 35.45 Cl.upf
Te 127.60 Te.upf
Cu 63.55 Cu.upf
ATOMIC_POSITIONS angstrom
Cl 0.703 0.525 5.285
Cl 2.223 -0.888 8.371
Te 2.445 2.024 1.307
Te 0.542 3.903 -0.038
Cu 2.779 0.032 6.375
Cu 0.161 2.254 6.639
CELL_PARAMETERS angstrom
3.915 0.012 -0.087
0.000 4.124 -1.012
-0.253 -2.250 11.415
```

Results
- Space group: P1, No. 1
- Raw formation energy: -0.22 eV/atom
- Crystal system: triclinic

=====

# 2
A relaxed structure of Sr2ZrRu, computed with PBE-GGA. Values from VASP.

```
&SYSTEM
  ibrav = 0, nat = 4, ntyp = 3
/
ATOMIC_SPECIES
Sr 87.62 Sr.upf
Ru 101.07 Ru.upf
Zr 91.22 Zr.upf
ATOMIC_POSITIONS angstrom
Sr -1.500 -2.580 1.398
Sr -4.501 -7.740 4.195
Ru -3.000 -5.160 2.797
Zr 0.000 0.000 0.000
CELL_PARAMETERS angstrom
0.556 -5.156 1.441
-2.361 -1.810 4.485
-4.196 -3.354 -0.333
```

Results
- Excess energy over the best structure of this formula in the dataset: 20.28 kcal/mol of atoms
- Space group: Fm-3m, No. 225
- Energy of formation: 0.9305 eV per atom
- Crystal system: cubic

=====

# 3
A relaxed structure of Ac5La2Pr2, computed with PBE-GGA. Values from VASP.

```
&SYSTEM
  ibrav = 0, nat = 9, ntyp = 3
/
ATOMIC_SPECIES
Ac 227.00 Ac.upf
Pr 140.91 Pr.upf
La 138.91 La.upf
ATOMIC_POSITIONS angstrom
Ac -3.436 -0.777 -1.709
Ac 0.000 0.000 0.000
Ac -9.955 -2.177 -1.241
Ac -3.397 -3.940 4.225
Ac -9.916 -5.340 4.692
Pr -6.518 -4.591 6.395
Pr -6.834 -1.526 -3.412
La -6.538 -1.416 0.463
La -6.814 -4.702 2.520
CELL_PARAMETERS angstrom
-3.670 -0.837 -5.580
6.275 -1.870 1.594
-15.958 -3.411 6.969
```

Results
- Excess energy over the best structure of this formula in the dataset: 0.00 kcal/mol of atoms
- Space group: P-1, No. 2
- Energy of formation: 0.0274 eV per atom
- Crystal system: triclinic

=====

# 4
A relaxed structure of TbPr2Nd3As6, computed with PBE-GGA. Values from VASP.

```
&SYSTEM
  ibrav = 0, nat = 12, ntyp = 4
/
ATOMIC_SPECIES
Tb 158.93 Tb.upf
Pr 140.91 Pr.upf
As 74.92 As.upf
Nd 144.24 Nd.upf
ATOMIC_POSITIONS angstrom
Tb -1.545 1.075 -1.002
Pr -1.530 -3.171 -1.042
Pr -4.634 -5.315 -3.095
As -2.636 -3.159 -3.862
As -3.528 -5.328 -0.275
As -3.503 -1.029 -0.241
As -2.662 -7.458 -3.895
As -7.488 -5.311 1.310
As 1.323 -3.176 -5.446
Nd -0.663 -1.018 -4.609
Nd -5.504 -3.199 0.516
Nd -0.661 -5.287 -4.653
CELL_PARAMETERS angstrom
-3.091 2.150 -2.005
1.766 -4.187 -7.213
-4.839 -6.450 5.081
```

Results
- Space group: C2/m, No. 12
- Energy of formation: -1.5075 eV per atom
- Crystal system: monoclinic

=====

# 5
A relaxed structure of YAs2SeS, computed with PBE-GGA. Values from VASP.

```
&SYSTEM
  ibrav = 0, nat = 5, ntyp = 4
/
ATOMIC_SPECIES
As 74.92 As.upf
S 32.06 S.upf
Se 78.96 Se.upf
Y 88.91 Y.upf
ATOMIC_POSITIONS angstrom
As 0.000 2.763 0.000
As 2.763 0.000 0.000
S 2.763 2.763 2.657
Se 0.000 0.000 2.657
Y 0.000 0.000 0.000
CELL_PARAMETERS angstrom
5.527 0.000 0.000
0.000 5.527 0.000
0.000 0.000 5.314
```

Results
- Excess energy over the best structure of this formula in the dataset: 16.18 kcal/mol of atoms
- Space group: P4/mmm, No. 123
- Raw formation energy: 0.60 eV/atom
- Crystal system: tetragonal

=====

# 6
A relaxed structure of Dy2GeO5, computed with PBE-GGA. Values from VASP.

```
&SYSTEM
  ibrav = 0, nat = 32, ntyp = 3
/
ATOMIC_SPECIES
O 16.00 O.upf
Dy 162.50 Dy.upf
Ge 72.64 Ge.upf
ATOMIC_POSITIONS angstrom
O 4.294 -12.373 1.758
O 1.663 -12.044 3.104
O 2.992 -7.373 5.090
O 0.303 -11.284 -3.556
O 0.825 -8.633 0.056
O -0.907 -10.457 3.253
O 3.732 -11.009 -1.443
O 3.919 -10.485 3.916
O -0.917 -3.481 0.369
O 4.213 -15.177 1.165
O 1.951 -4.156 0.854
O 1.345 -14.502 0.680
O 2.871 -6.951 2.270
O 2.471 -10.025 1.478
O 1.633 -6.614 -1.570
O -0.436 -7.649 2.977
O -0.623 -8.173 -2.381
O 4.203 -8.201 -1.718
O -0.998 -6.285 -0.223
O 0.425 -11.707 -0.736
Dy 2.600 -4.563 -1.304
Dy 1.318 -6.392 3.766
Dy 0.276 -10.631 1.193
Dy 0.696 -14.094 2.838
Dy 1.978 -12.266 -2.232
Dy 0.757 -11.426 5.218
Dy 3.020 -8.027 0.341
Dy 2.538 -7.232 -3.684
Ge 3.170 -11.264 2.526
Ge 0.126 -7.394 -0.992
Ge 2.915 -14.897 0.000
Ge 0.381 -3.761 1.535
CELL_PARAMETERS angstrom
-3.647 -5.839 -0.717
3.861 -6.009 -4.119
3.082 -6.810 6.371
```

Results
- Space group: C2/c, No. 15
- Raw formation energy: -2.94 eV/atom
- Crystal system: monoclinic